NdWC2 after structural relaxation, computed with PBE.

a b c (Å): 3.2284 3.2284 6.2014
angles (deg): 104.99 104.99 89.99
Last column: nearest neighbours and their distance in Å.
Atoms (fractional coordinates):
Nd 0.0000 0.0000 0.0000  8 C 2.81-2.83
W 0.2473 0.7527 0.5000  4 C 2.03
C 0.3525 0.3580 0.7122  2 W 2.03
C 0.6420 0.6475 0.2878  2 W 2.03

## Properties
Space group ... C2 (5)
E_tot ... -35.03 eV per formula unit
Energy of formation ... 0.285 eV per atom



Nd2YC after structural relaxation, computed with PBE.

a b c (Å): 10.2004 10.2004 10.2004
angles (deg): 20.52 20.52 20.52
Last column: nearest neighbours and their distance in Å.
Atoms (fractional coordinates):
Nd 0.1191 0.1191 0.1191  3 C 2.54
Nd 0.8809 0.8809 0.8809  3 C 2.54
Y 0.0000 0.0000 0.0000  2 Nd 3.57, 6 Y 3.63
C 0.5000 0.5000 0.5000  6 Nd 2.54

## Properties
Space group ... R-3m (166)
E_tot ... -24.97 eV per formula unit
Energy of formation ... 0.065 eV per atom



NdYC2 after structural relaxation, computed with PBE.

a b c (Å): 6.3800 6.3800 6.3800
angles (deg): 33.68 33.68 33.68
Last column: nearest neighbours and their distance in Å.
Atoms (fractional coordinates):
Nd 0.0000 0.0000 0.0000  6 C 2.65
Y 0.5000 0.5000 0.5000  6 C 2.57
C 0.2464 0.2464 0.2464  3 Y 2.57, 3 Nd 2.65
C 0.7536 0.7536 0.7536  3 Y 2.57, 3 Nd 2.65

## Properties
Space group ... R-3m (166)
E_tot ... -28.91 eV per formula unit
Energy of formation ... 0.191 eV per atom



NdY2C after structural relaxation, computed with PBE.

a b c (Å): 10.0858 10.0858 10.0858
angles (deg): 20.32 20.32 20.32
Last column: nearest neighbours and their distance in Å.
Atoms (fractional coordinates):
Nd 0.0000 0.0000 0.0000  6 Nd 3.56, 2 Y 3.59
Y 0.1211 0.1211 0.1211  3 C 2.46
Y 0.8789 0.8789 0.8789  3 C 2.46
C 0.5000 0.5000 0.5000  6 Y 2.46

## Properties
Space group ... R-3m (166)
E_tot ... -27.32 eV per formula unit
Energy of formation ... -0.101 eV per atom



Nd4Zn2C after structural relaxation, computed with PBE.

a b c (Å): 8.1244 8.1244 8.1244
angles (deg): 143.31 143.31 52.86
Last column: nearest neighbours and their distance in Å.
Atoms (fractional coordinates):
Nd 0.0000 0.5000 0.5000  2 C 2.56
Nd 0.1741 0.1741 0.0000  1 C 2.53
Nd 0.5000 0.0000 0.5000  2 C 2.56
Nd 0.8259 0.8259 0.0000  1 C 2.53
Zn 0.3784 0.3784 0.0000  5 Nd 2.97-3.11
Zn 0.6216 0.6216 0.0000  5 Nd 2.97-3.11
C 0.0000 0.0000 0.0000  6 Nd 2.53-2.56

## Properties
Space group ... I4/mmm (139)
E_tot ... -31.60 eV per formula unit
Energy of formation ... -0.109 eV per atom



Nd3ZnC after structural relaxation, computed with PBE.

a b c (Å): 3.7574 7.7869 8.9684
angles (deg): 92.22 90.00 103.95
Last column: nearest neighbours and their distance in Å.
Atoms (fractional coordinates):
Nd 0.0486 0.0988 0.2755  1 C 2.53
Nd 0.2464 0.4926 0.6753  2 C 2.57
Nd 0.3503 0.7007 0.0333  3 C 2.58-2.59
Nd 0.6497 0.2993 0.9667  3 C 2.58-2.59
Nd 0.7536 0.5074 0.3247  2 C 2.57
Nd 0.9514 0.9012 0.7245  1 C 2.53
Zn 0.4133 0.8274 0.4416  1 Zn 2.77
Zn 0.5867 0.1726 0.5584  1 Zn 2.77
C 0.1965 0.3931 0.1506  6 Nd 2.53-2.59
C 0.8035 0.6069 0.8494  6 Nd 2.53-2.59

## Properties
Space group ... P-1 (2)
E_tot ... -25.52 eV per formula unit
Energy of formation ... -0.143 eV per atom



In order of appearance, Fermi-level density of states = 2.69; 4.18; 5.30; 4.60; 7.38; 5.18 states/eV/f.u..